TmThTlC: optimized geometry, GGA-PBE.

The structure in extended XYZ format:
```
4
Lattice="3.6134 -0.0009 0.0022 -1.8066 3.1305 -0.0004 -1.8011 -1.0394 8.3345" Properties=species:S:1:pos:R:3 pbc="T T T"
Tl 2.1506 0.8172 3.1827
C -1.4605 0.8175 7.1448
Th -1.4673 2.9002 0.2544
Tm 0.3461 -0.2263 5.8377
```

Results
Calculated volume = 94.28 Å³/f.u.
Space group = Cm (8)
Raw total energy = -6.2137 eV/atom